{
  "formula": "Be3InAs",
  "functional": "PBE-GGA",
  "state": "optimized geometry",
  "dos_ef_per_ev_cell": 2.5,
  "formation_enthalpy_0k_ev_per_atom": 1.27,
  "dft_energy_ev_per_atom": -2.45,
  "space_group": "Pm-3m (221)",
  "relative_energy_kj_per_mol_atoms": 47.7,
  "lattice_angstrom": [[4.534, 0.000, 0.000], [0.000, 4.534, 0.000], [0.000, 0.000, 4.534]],
  "species": ["Be", "Be", "Be", "In", "As"],
  "frac_coords": [[0.000, 0.000, 0.500], [0.000, 0.500, 0.000], [0.500, 0.000, 0.000], [0.000, 0.000, 0.000], [0.500, 0.500, 0.500]]
}